(1)
A plane-wave DFT calculation with PBE was carried out for a geometry-optimized Zn2FeSb2 structure.

Calculated values
* space-group type: P4/mbm (127)

Lattice parameters (Å, degrees): 6.8831 6.8831 4.3869 90.00 90.00 90.00
With the nearest neighbours (Å) after each atom.
Element x y z (fractional)
Zn 0.1484 0.3516 0.0000  6 Sb 2.87-3.06, 1 Zn 2.89
Zn 0.3516 0.8516 0.0000  6 Sb 2.87-3.06, 1 Zn 2.89
Zn 0.6484 0.1484 0.0000  6 Sb 2.87-3.06, 1 Zn 2.89
Zn 0.8516 0.6484 0.0000  6 Sb 2.87-3.06, 1 Zn 2.89
Fe 0.0000 0.0000 0.5000  4 Sb 2.58
Fe 0.5000 0.5000 0.5000  4 Sb 2.58
Sb 0.1614 0.6614 0.5000  2 Fe 2.58, 2 Zn 2.87
Sb 0.3386 0.1614 0.5000  2 Fe 2.58, 2 Zn 2.87
Sb 0.6614 0.8386 0.5000  2 Fe 2.58, 2 Zn 2.87
Sb 0.8386 0.3386 0.5000  2 Fe 2.58, 2 Zn 2.87

---

(2)
A plane-wave DFT calculation with PBE was carried out for a geometry-optimized ZnFeSb2 structure.

Calculated values
* space-group type: C2/m (12)

Lattice parameters (Å, degrees): 6.1092 7.5365 3.5787 90.00 100.78 90.00
With the nearest neighbours (Å) after each atom.
Element x y z (fractional)
Zn 0.0000 0.0000 0.0000  8 Sb 2.84-3.18, 2 Fe 3.05
Zn 0.5000 0.5000 0.0000  8 Sb 2.84-3.18, 2 Fe 3.05
Fe 0.0000 0.5000 0.0000  8 Sb 2.84-3.18, 2 Zn 3.05
Fe 0.5000 0.0000 0.0000  8 Sb 2.84-3.18, 2 Zn 3.05
Sb 0.2500 0.2500 0.5000  4 Fe 2.84-3.18, 4 Zn 2.84-3.18, 2 Sb 3.05
Sb 0.2500 0.7500 0.5000  4 Fe 2.84-3.18, 4 Zn 2.84-3.18, 2 Sb 3.05
Sb 0.7500 0.2500 0.5000  4 Fe 2.84-3.18, 4 Zn 2.84-3.18, 2 Sb 3.05
Sb 0.7500 0.7500 0.5000  4 Fe 2.84-3.18, 4 Zn 2.84-3.18, 2 Sb 3.05

---

E_tot? In order: -0.258; -0.301 Ry per atom.